(1)
An optimized crystal structure of Dy3Tm2Th2, computed with PBE.

The structure in CIF format:
```
data_Dy3Tm2Th2
_cell_length_a 3.563
_cell_length_b 7.900
_cell_length_c 8.627
_cell_angle_alpha 68.81
_cell_angle_beta 89.89
_cell_angle_gamma 77.02
_space_group_name_H-M_alt 'P -1'
_space_group_IT_number 2
loop_
_space_group_symop_operation_xyz
'x,y,z'
'-x,-y,-z'
loop_
_atom_site_label
_atom_site_fract_x
_atom_site_fract_y
_atom_site_fract_z
_atom_site_occupancy
Dy1 0.000 0.000 0.000 1
Dy2 0.429 0.142 0.287 1
Tm1 0.284 0.430 0.851 1
Th1 0.145 0.712 0.427 1
```

Computed properties:
- DFT total energy: -37.40 eV per cell
- Spin magnetization: 0.00 μB per cell
- E above lowest polymorph: 0 meV per atom
- Formation enthalpy at 0 K: 0.0264 eV/atom

---

(2)
An optimized crystal structure of SbTe2SeN, computed with PBE.

The structure in CIF format:
```
data_SbTe2SeN
_cell_length_a 5.833
_cell_length_b 5.833
_cell_length_c 3.913
_cell_angle_alpha 90.00
_cell_angle_beta 90.00
_cell_angle_gamma 90.00
_space_group_name_H-M_alt 'P 4/m m m'
_space_group_IT_number 123
_space_group_name_Hall '-P 4 2'
loop_
_atom_site_label
_atom_site_fract_x
_atom_site_fract_y
_atom_site_fract_z
_atom_site_occupancy
Sb1 0.000 0.000 0.000 1
Te1 0.000 0.500 0.000 1
Se1 0.500 0.500 0.500 1
N1 0.000 0.000 0.500 1
```

Computed properties:
- DFT total energy: -17.36 eV per cell
- Spin magnetization: 0.00 μB per cell
- E above lowest polymorph: 194 meV per atom
- Formation energy from raw total energies: 0.97 eV/atom

---

(3)
An optimized crystal structure of Be2AlAs, computed with PBE.

The structure in CIF format:
```
data_Be2AlAs
_cell_length_a 3.293
_cell_length_b 3.406
_cell_length_c 10.007
_cell_angle_alpha 90.00
_cell_angle_beta 90.00
_cell_angle_gamma 90.00
_space_group_name_H-M_alt 'I m m 2'
_space_group_IT_number 44
loop_
_space_group_symop_operation_xyz
'x,y,z'
'-x,-y,z'
'-x,y,z'
'x,-y,z'
'x+1/2,y+1/2,z+1/2'
'-x+1/2,-y+1/2,z+1/2'
'-x+1/2,y+1/2,z+1/2'
'x+1/2,-y+1/2,z+1/2'
loop_
_atom_site_label
_atom_site_fract_x
_atom_site_fract_y
_atom_site_fract_z
_atom_site_occupancy
Be1 0.000 0.000 0.000 1
Be2 0.000 0.500 0.136 1
Al1 0.000 0.000 0.395 1
As1 0.000 0.500 0.671 1
```

Computed properties:
- DFT total energy: -29.29 eV per cell
- Spin magnetization: 0.00 μB per cell
- E above lowest polymorph: 82 meV per atom
- Formation enthalpy at 0 K: 0.3004 eV/atom

---

(4)
An optimized crystal structure of PmLu, computed with PBE.

The structure in CIF format:
```
data_PmLu
_cell_length_a 3.633
_cell_length_b 5.666
_cell_length_c 6.253
_cell_angle_alpha 90.00
_cell_angle_beta 90.03
_cell_angle_gamma 90.00
_space_group_name_H-M_alt 'P 1 21/m 1'
_space_group_IT_number 11
loop_
_space_group_symop_operation_xyz
'x,y,z'
'-x,-y,-z'
'-x,y+1/2,-z'
'x,-y+1/2,z'
loop_
_atom_site_label
_atom_site_fract_x
_atom_site_fract_y
_atom_site_fract_z
_atom_site_occupancy
Pm1 0.000 0.250 0.170 1
Lu1 0.499 0.250 0.663 1
```

Computed properties:
- DFT total energy: -18.49 eV per cell
- Spin magnetization: 0.01 μB per cell
- E above lowest polymorph: 0 meV per atom
- Formation enthalpy at 0 K: 0.0136 eV/atom

---

(5)
An optimized crystal structure of BeAlB3, computed with PBE.

The structure in CIF format:
```
data_BeAlB3
_cell_length_a 4.088
_cell_length_b 4.088
_cell_length_c 4.088
_cell_angle_alpha 90.00
_cell_angle_beta 90.00
_cell_angle_gamma 90.00
_space_group_name_H-M_alt 'P m -3 m'
_space_group_IT_number 221
_space_group_name_Hall '-P 4 2 3'
loop_
_atom_site_label
_atom_site_fract_x
_atom_site_fract_y
_atom_site_fract_z
_atom_site_occupancy
Be1 0.000 0.000 0.000 1
Al1 0.500 0.500 0.500 1
B1 0.000 0.500 0.500 1
```

Computed properties:
- DFT total energy: -17.01 eV per cell
- Spin magnetization: 0.00 μB per cell
- E above lowest polymorph: 691 meV per atom
- Formation enthalpy at 0 K: 2.0989 eV/atom

---

(6)
An optimized crystal structure of Cr4Bi, computed with PBE.

The structure in CIF format:
```
data_Cr4Bi
_cell_length_a 5.321
_cell_length_b 5.321
_cell_length_c 5.321
_cell_angle_alpha 90.00
_cell_angle_beta 90.00
_cell_angle_gamma 90.00
_space_group_name_H-M_alt 'P m -3 m'
_space_group_IT_number 221
_space_group_name_Hall '-P 4 2 3'
loop_
_atom_site_label
_atom_site_fract_x
_atom_site_fract_y
_atom_site_fract_z
_atom_site_occupancy
Cr1 0.000 0.000 0.000 1
Cr2 0.000 0.500 0.500 1
Bi1 0.500 0.500 0.500 1
```

Computed properties:
- DFT total energy: -33.40 eV per cell
- Spin magnetization: 18.77 μB per cell
- Formation enthalpy at 0 K: 1.7943 eV/atom